1.
VASP calculation (GGA-PBE) on PuNbTl after structural relaxation.

Cell: 5.4267 3.8056 13.1572 Å, 90.00 100.59 90.00°
Space group C2/m (No. 12)
Symmetry-distinct sites (fractional):
Pu (0.2047, 0.0000, 0.0466)
Nb (0.1824, 0.0000, 0.7930)
Tl (0.0189, 0.5000, 0.6149)

As for the crystal system: monoclinic. Its uncorrected energy is -8.581 eV per atom. The energy of formation from the pure elements is 0.34 eV/atom.

---

2.
VASP calculation (GGA-PBE) on VCo3Rh after structural relaxation.

Cell: 4.3546 4.3546 16.8948 Å, 90.00 90.00 90.00°
Space group I-4m2 (No. 119)
Symmetry-distinct sites (fractional):
V (0.0000, 0.0000, 0.0000)
V (0.0000, 0.5000, 0.2500)
Co (0.0000, 0.2484, 0.1234)
Co (0.0000, 0.5000, 0.5957)
Rh (0.0000, 0.0000, 0.3318)

The calculation puts the energy above the most stable polymorph in this dataset at 0 meV per atom. As for the crystal system: tetragonal. Its uncorrected energy is -6.854 eV per atom. The energy of formation from the pure elements is 0.70 eV/atom.

---

3.
VASP calculation (GGA-PBE) on ZnPSeCl2 after structural relaxation.

Cell: 4.6064 4.6064 5.3302 Å, 90.00 90.00 90.00°
Space group P4/mmm (No. 123)
Symmetry-distinct sites (fractional):
Zn (0.0000, 0.0000, 0.0000)
P (0.0000, 0.0000, 0.5000)
Se (0.5000, 0.5000, 0.5000)
Cl (0.0000, 0.5000, 0.0000)

The calculation puts the energy above the most stable polymorph in this dataset at 0 meV per atom. As for the crystal system: tetragonal. Its uncorrected energy is -2.478 eV per atom.

---

4.
VASP calculation (GGA-PBE) on Ba2Cd4Ag3Pb after structural relaxation.

Cell: 4.8353 4.8353 12.1843 Å, 90.00 90.00 90.00°
Space group P-4m2 (No. 115)
Symmetry-distinct sites (fractional):
Ba (0.0000, 0.5000, 0.2458)
Cd (0.0000, 0.0000, 0.0000)
Cd (0.0000, 0.5000, 0.6434)
Cd (0.5000, 0.5000, 0.0000)
Ag (0.0000, 0.5000, 0.8721)
Ag (0.5000, 0.5000, 0.5000)
Pb (0.0000, 0.0000, 0.5000)

As for the crystal system: tetragonal. Its uncorrected energy is -2.218 eV per atom. The energy of formation from the pure elements is -0.24 eV/atom.